! NpTl2Cr3F12, relaxed, DFT PBE+U; values from VASP
! E   -109.8 eV for the cell shown
! V   291.38 Å³/cell
&SYSTEM
  ibrav = 0, nat = 18, ntyp = 4
/
ATOMIC_SPECIES
Np 237.00 Np.upf
Tl 204.38 Tl.upf
Cr 52.00 Cr.upf
F 19.00 F.upf
ATOMIC_POSITIONS crystal
Np 0.0000 0.0000 0.0000
Tl 0.3856 0.3856 0.3856
Tl 0.6144 0.6144 0.6144
Cr 0.0000 0.0000 0.5000
Cr 0.0000 0.5000 0.0000
Cr 0.5000 0.0000 0.0000
F 0.0888 0.7465 0.7465
F 0.1337 0.1337 0.6056
F 0.1337 0.6056 0.1337
F 0.2535 0.2535 0.9112
F 0.2535 0.9112 0.2535
F 0.3944 0.8663 0.8663
F 0.6056 0.1337 0.1337
F 0.7465 0.0888 0.7465
F 0.7465 0.7465 0.0888
F 0.8663 0.3944 0.8663
F 0.8663 0.8663 0.3944
F 0.9112 0.2535 0.2535
CELL_PARAMETERS angstrom
3.9776 2.2964 5.3167
-3.9776 2.2964 5.3167
0.0000 -4.5929 5.3167